# 1
The following is a GGA-PBE calculation of a relaxed structure of La5Th3Sb8, from Alexandria via LeMat-Bulk.

Results
V: 33.882 A^3/atom
Final energy: -295.3 eV per cell
ΔE_f (raw): -1159 meV/atom

Unit cell a=9.1464 b=9.1464 c=22.4479 alpha=90.00 beta=90.00 gamma=120.00
Space group R-3m (No. 166, hexagonal axes)
Symmetry-distinct sites (fractional):
La  0.0000  0.0000  0.0000 (multiplicity 3)
La  0.0000  0.0000  0.5000 (multiplicity 3)
La  0.0000  0.5000  0.0000 (multiplicity 9)
Th  0.0000  0.5000  0.5000 (multiplicity 9)
Sb  0.0000  0.0000  0.2478 (multiplicity 6)
Sb  0.0034  0.5017  0.7517 (multiplicity 18)

---

# 2
The following is a GGA-PBE calculation of a relaxed structure of LaThSb2, from Alexandria via LeMat-Bulk.

Results
V: 33.968 A^3/atom
Final energy: -73.7 eV per cell
ΔE_f (raw): -996 meV/atom

Unit cell a=4.4350 b=4.4350 c=23.9294 alpha=90.00 beta=90.00 gamma=120.00
Space group R3m (No. 160, hexagonal axes)
Symmetry-distinct sites (fractional):
La  0.0000  0.0000  0.0000 (multiplicity 3)
Th  0.0000  0.0000  0.8282 (multiplicity 3)
Sb  0.0000  0.0000  0.4142 (multiplicity 3)
Sb  0.0000  0.0000  0.5789 (multiplicity 3)

---

# 3
The following is a GGA-PBE calculation of a relaxed structure of LaThSb, from Alexandria via LeMat-Bulk.

Results
V: 32.472 A^3/atom
Final energy: -74.9 eV per cell
ΔE_f (raw): -748 meV/atom

Unit cell a=6.542 b=6.542 c=9.105 alpha=90.00 beta=90.05 gamma=90.00
Space group C2/m (No. 12)
Symmetry-distinct sites (fractional):
La  0.250  0.000  0.140 (multiplicity 4)
Th  0.000  0.250  0.500 (multiplicity 4)
Sb  0.249  0.500  0.227 (multiplicity 4)

---

# 4
The following is a GGA-PBE calculation of a relaxed structure of La2ThSb, from Alexandria via LeMat-Bulk.

Results
V: 30.675 A^3/atom
Final energy: -23.5 eV per cell
ΔE_f (raw): -515 meV/atom

Unit cell a=4.963 b=4.963 c=4.981 alpha=90.00 beta=90.00 gamma=90.00
Space group P4/mmm (No. 123)
Symmetry-distinct sites (fractional):
La  0.000  0.500  0.000 (multiplicity 2)
Th  0.000  0.000  0.500 (multiplicity 1)
Sb  0.500  0.500  0.500 (multiplicity 1)

---

# 5
The following is a GGA-PBE calculation of a relaxed structure of LaThSb, from Alexandria via LeMat-Bulk.

Results
V: 31.383 A^3/atom
Final energy: -36.3 eV per cell
ΔE_f (raw): -557 meV/atom

Unit cell a=4.179 b=4.179 c=10.784 alpha=90.00 beta=90.00 gamma=90.00
Space group I4mm (No. 107)
Symmetry-distinct sites (fractional):
La  0.000  0.000  0.000 (multiplicity 2)
Th  0.000  0.000  0.704 (multiplicity 2)
Sb  0.000  0.000  0.345 (multiplicity 2)

---

# 6
The following is a GGA-PBE calculation of a relaxed structure of La2TmThSb4, from Alexandria via LeMat-Bulk.

Results
V: 32.749 A^3/atom
Final energy: -47.4 eV per cell
ΔE_f (raw): -1145 meV/atom

Unit cell a=7.809 b=4.527 c=7.860 alpha=90.00 beta=109.46 gamma=90.00
Space group P2/m (No. 10)
Symmetry-distinct sites (fractional):
La  0.000  0.000  0.000 (multiplicity 1)
La  0.500  0.500  0.000 (multiplicity 1)
Tm  0.000  0.500  0.500 (multiplicity 1)
Th  0.500  0.000  0.500 (multiplicity 1)
Sb  0.241  0.000  0.736 (multiplicity 2)
Sb  0.248  0.500  0.260 (multiplicity 2)

---

# 7
The following is a GGA-PBE calculation of a relaxed structure of La3TmTh2Sb6, from Alexandria via LeMat-Bulk.

Results
V: 33.020 A^3/atom
Final energy: -144.9 eV per cell
ΔE_f (raw): -1134 meV/atom

Unit cell a=7.841 b=13.599 c=7.881 alpha=90.00 beta=109.41 gamma=90.00
Space group C2/m (No. 12)
Symmetry-distinct sites (fractional):
La  0.000  0.000  0.000 (multiplicity 2)
La  0.000  0.331  0.000 (multiplicity 4)
Tm  0.000  0.500  0.500 (multiplicity 2)
Th  0.000  0.166  0.500 (multiplicity 4)
Sb  0.243  0.336  0.739 (multiplicity 8)
Sb  0.246  0.500  0.258 (multiplicity 4)

---

# 8
The following is a GGA-PBE calculation of a relaxed structure of LaYTh2Sb5, from Alexandria via LeMat-Bulk.

Results
V: 36.141 A^3/atom
Final energy: -49.1 eV per cell
ΔE_f (raw): -250 meV/atom

Unit cell a=5.269 b=5.269 c=11.718 alpha=90.00 beta=90.00 gamma=90.00
Space group P4/mmm (No. 123)
Symmetry-distinct sites (fractional):
La  0.000  0.000  0.000 (multiplicity 1)
Y  0.000  0.000  0.500 (multiplicity 1)
Th  0.500  0.500  0.306 (multiplicity 2)
Sb  0.000  0.000  0.253 (multiplicity 2)
Sb  0.000  0.500  0.500 (multiplicity 2)
Sb  0.500  0.500  0.000 (multiplicity 1)